This record from Alexandria via LeMat-Bulk describes a relaxed structure of SrRuSe2. The functional is PBE-GGA.

The crystal system is trigonal. The value obtained for the density of states at the Fermi level is 1.458 states/eV/atom. The excess energy over the best structure of this formula in the dataset comes out at 599 meV/atom. Its mass density is 5.191 g/cm3.

The structure belongs to space group R-3m (No. 166, hexagonal axes); the cell edges are 3.9132, 3.9132 and 25.0799 Å and the angles 90.00°, 90.00° and 120.00°. The inequivalent atoms are Sr at (0.0000, 0.0000, 0.0000), Ru at (0.0000, 0.0000, 0.5000) and Se at (0.0000, 0.0000, 0.1193).